[1]
VASP calculation (GGA-PBE) on a relaxed CdPdAu crystal.

Properties
DOS at the Fermi energy, states/eV per atom: 0.2077
Formation enthalpy at 0 K, kJ/mol of formula units: -77
VASP energy, eV per atom: -3.3948
Space-group type: No. 44
Relative energy among the computed polymorphs, kJ/mol of formula units: 0

a = 3.0171 Å, b = 3.9964 Å, c = 5.0701 Å
α = 113.21°, β = 107.31°, γ = 90.00°
Last column: nearest neighbours and their distance in Å.
Atoms (fractional coordinates):
Au (0.9981, 0.9981, 0.9963)  5 Cd 2.90-2.93, 5 Pd 2.90-2.95, 2 Au 3.02
Pd (0.3321, 0.3321, 0.6643)  5 Cd 2.88-2.98, 5 Au 2.90-2.95, 2 Pd 3.02
Cd (0.6697, 0.6697, 0.3395)  5 Pd 2.88-2.98, 5 Au 2.90-2.93, 2 Cd 3.02


[2]
VASP calculation (GGA-PBE) on a relaxed Cd8Pd2Au crystal.

Properties
DOS at the Fermi energy, states/eV per atom: 0.3748
Formation enthalpy at 0 K, kJ/mol of formula units: -199
VASP energy, eV per atom: -2.0949
Space-group type: No. 12
Relative energy among the computed polymorphs, kJ/mol of formula units: 22

a = 4.6453 Å, b = 7.0995 Å, c = 7.0995 Å
α = 105.70°, β = 90.02°, γ = 90.02°
Last column: nearest neighbours and their distance in Å.
Atoms (fractional coordinates):
Cd (0.5000, 0.2512, 0.7488)  2 Pd 2.72, 1 Au 2.84
Cd (0.5000, 0.7488, 0.2512)  2 Pd 2.72, 1 Au 2.84
Cd (0.4986, 0.6654, 0.6654)  7 Cd 2.84-3.15, 1 Au 2.87, 4 Pd 3.06-3.07
Cd (0.0012, 0.3072, 0.0387)  2 Pd 2.81-3.11, 7 Cd 2.93-3.10, 1 Au 3.14
Cd (0.9988, 0.6928, 0.9613)  2 Pd 2.81-3.11, 7 Cd 2.93-3.10, 1 Au 3.14
Cd (0.0012, 0.0387, 0.3072)  2 Pd 2.81-3.11, 7 Cd 2.93-3.10, 1 Au 3.14
Cd (0.5014, 0.3346, 0.3346)  7 Cd 2.84-3.15, 1 Au 2.87, 4 Pd 3.06-3.07
Cd (0.9988, 0.9613, 0.6928)  2 Pd 2.81-3.11, 7 Cd 2.93-3.10, 1 Au 3.14
Pd (0.0000, 0.6246, 0.3754)  4 Cd 2.72-2.81, 1 Pd 2.82
Pd (0.0000, 0.3754, 0.6246)  4 Cd 2.72-2.81, 1 Pd 2.82
Au (0.5000, 0.0000, 0.0000)  12 Cd 2.84-3.15


[3]
VASP calculation (GGA-PBE) on a relaxed CdPd7Au2 crystal.

Properties
DOS at the Fermi energy, states/eV per atom: 1.8936
Formation enthalpy at 0 K, kJ/mol of formula units: 355
VASP energy, eV per atom: -4.0135
Space-group type: No. 65

a = 4.3569 Å, b = 7.6437 Å, c = 7.6437 Å
α = 123.53°, β = 90.00°, γ = 90.00°
Last column: nearest neighbours and their distance in Å.
Atoms (fractional coordinates):
Au (0.5000, 0.3002, 0.6998)  5 Pd 2.60-2.69
Au (0.5000, 0.6998, 0.3002)  5 Pd 2.60-2.69
Pd (0.5000, 0.9220, 0.7148)  5 Pd 2.63-2.82, 1 Au 2.64, 2 Cd 2.90
Pd (0.5000, 0.2852, 0.0780)  5 Pd 2.63-2.82, 1 Au 2.64, 2 Cd 2.90
Pd (0.5000, 0.5000, 0.5000)  2 Au 2.69, 4 Pd 2.69
Pd (0.5000, 0.7148, 0.9220)  5 Pd 2.63-2.82, 1 Au 2.64, 2 Cd 2.90
Pd (0.0000, 0.1945, 0.8055)  2 Au 2.60, 1 Cd 2.62, 4 Pd 2.82
Pd (0.0000, 0.8055, 0.1945)  2 Au 2.60, 1 Cd 2.62, 4 Pd 2.82
Pd (0.5000, 0.0780, 0.2852)  5 Pd 2.63-2.82, 1 Au 2.64, 2 Cd 2.90
Cd (0.0000, 0.0000, 0.0000)  10 Pd 2.62-2.90


[4]
VASP calculation (GGA-PBE) on a relaxed CdPdAu6 crystal.

Properties
DOS at the Fermi energy, states/eV per atom: 0.3240
Formation enthalpy at 0 K, kJ/mol of formula units: -75
VASP energy, eV per atom: -3.3186
Space-group type: No. 123
Relative energy among the computed polymorphs, kJ/mol of formula units: 0

a = 4.1055 Å, b = 5.9136 Å, c = 5.9136 Å
α = 90.00°, β = 90.00°, γ = 90.00°
Last column: nearest neighbours and their distance in Å.
Atoms (fractional coordinates):
Pd (0.5000, 0.0000, 0.0000)  12 Au 2.91-2.96
Au (0.0000, 0.7533, 0.2467)  2 Pd 2.91, 8 Au 2.92-3.00, 2 Cd 2.95
Au (0.0000, 0.2466, 0.2466)  2 Pd 2.91, 8 Au 2.92-3.00, 2 Cd 2.95
Au (0.5000, 0.5000, 0.0000)  8 Au 2.93, 2 Cd 2.96, 2 Pd 2.96
Au (0.0000, 0.2467, 0.7533)  2 Pd 2.91, 8 Au 2.92-3.00, 2 Cd 2.95
Au (0.5000, 0.0000, 0.5000)  8 Au 2.93, 2 Pd 2.96, 2 Cd 2.96
Au (0.0000, 0.7534, 0.7534)  2 Pd 2.91, 8 Au 2.92-3.00, 2 Cd 2.95
Cd (0.5000, 0.5000, 0.5000)  12 Au 2.95-2.96